Entry 1:
# Pm4GaBr5, optimized geometry, DFT GGA-PBE
data_Pm4GaBr5
_cell_length_a 18.7401
_cell_length_b 4.1806
_cell_length_c 8.6274
_cell_angle_alpha 90.00
_cell_angle_beta 102.89
_cell_angle_gamma 90.00
_space_group_name_H-M_alt 'C 1 2/m 1'
_space_group_IT_number 12
loop_
_space_group_symop_operation_xyz
'x,y,z'
'-x,-y,-z'
'-x,y,-z'
'x,-y,z'
'x+1/2,y+1/2,z'
'-x+1/2,-y+1/2,-z'
'-x+1/2,y+1/2,-z'
'x+1/2,-y+1/2,z'
loop_
_atom_site_label
_atom_site_fract_x
_atom_site_fract_y
_atom_site_fract_z
_atom_site_occupancy
Pm1 0.0003 0.0000 0.2305 1
Pm2 0.1536 0.5000 0.0815 1
Ga1 0.0000 0.5000 0.0000 1
Br1 0.0000 0.5000 0.5000 1
Br2 0.1666 0.0000 0.3307 1
Br3 0.1713 0.0000 0.8389 1
# Calculated total energy ... -4.470 eV per atom

Entry 2:
# PmGa2Br6, optimized geometry, DFT GGA-PBE
data_PmGa2Br6
_cell_length_a 13.3494
_cell_length_b 13.9187
_cell_length_c 8.7133
_cell_angle_alpha 90.00
_cell_angle_beta 112.61
_cell_angle_gamma 90.00
_space_group_name_H-M_alt 'C 1 2/c 1'
_space_group_IT_number 15
loop_
_space_group_symop_operation_xyz
'x,y,z'
'-x,-y,-z'
'-x,y,-z+1/2'
'x,-y,z+1/2'
'x+1/2,y+1/2,z'
'-x+1/2,-y+1/2,-z'
'-x+1/2,y+1/2,-z+1/2'
'x+1/2,-y+1/2,z+1/2'
loop_
_atom_site_label
_atom_site_fract_x
_atom_site_fract_y
_atom_site_fract_z
_atom_site_occupancy
Pm1 0.0000 0.0697 0.2500 1
Ga1 0.1654 0.4000 0.2370 1
Br1 0.0955 0.0918 0.6227 1
Br2 0.1454 0.4843 0.9598 1
Br3 0.1650 0.1941 0.2590 1
# Calculated total energy ... -3.385 eV per atom

Entry 3:
# Pm2GaBr, optimized geometry, DFT GGA-PBE
data_Pm2GaBr
_cell_length_a 3.7848
_cell_length_b 3.7848
_cell_length_c 8.8329
_cell_angle_alpha 90.00
_cell_angle_beta 90.00
_cell_angle_gamma 120.00
_space_group_name_H-M_alt 'P -3 m 1'
_space_group_IT_number 164
_space_group_name_Hall '-P 3 2"'
loop_
_atom_site_label
_atom_site_fract_x
_atom_site_fract_y
_atom_site_fract_z
_atom_site_occupancy
Pm1 0.3333 0.6667 0.2342 1
Ga1 0.0000 0.0000 0.0000 1
Br1 0.0000 0.0000 0.5000 1
# Energy above the most stable polymorph in this dataset ... 62 meV/atom

Entry 4:
# Pm6GaBr8, optimized geometry, DFT GGA-PBE
data_Pm6GaBr8
_cell_length_a 7.2958
_cell_length_b 7.2958
_cell_length_c 32.3527
_cell_angle_alpha 90.00
_cell_angle_beta 90.00
_cell_angle_gamma 120.00
_space_group_name_H-M_alt 'R -3'
_space_group_IT_number 148
_space_group_name_Hall '-R 3'
loop_
_atom_site_label
_atom_site_fract_x
_atom_site_fract_y
_atom_site_fract_z
_atom_site_occupancy
Pm1 0.0000 0.3127 0.0521 1
Ga1 0.0000 0.0000 0.0000 1
Br1 0.0000 0.0000 0.3333 1
Br2 0.0000 0.3378 0.8926 1
# Calculated total energy ... -4.416 eV per atom

Entry 5:
# Pm2GaBr, optimized geometry, DFT GGA-PBE
data_Pm2GaBr
_cell_length_a 3.5189
_cell_length_b 3.5189
_cell_length_c 8.2997
_cell_angle_alpha 90.00
_cell_angle_beta 90.00
_cell_angle_gamma 90.00
_space_group_name_H-M_alt 'P 4/m m m'
_space_group_IT_number 123
_space_group_name_Hall '-P 4 2'
loop_
_atom_site_label
_atom_site_fract_x
_atom_site_fract_y
_atom_site_fract_z
_atom_site_occupancy
Pm1 0.0000 0.0000 0.2276 1
Ga1 0.5000 0.5000 0.0000 1
Br1 0.5000 0.5000 0.5000 1
# Energy above the most stable polymorph in this dataset ... 61 meV/atom

Entry 6:
# Pm3GaBr2, optimized geometry, DFT GGA-PBE
data_Pm3GaBr2
_cell_length_a 4.4310
_cell_length_b 5.9586
_cell_length_c 12.6710
_cell_angle_alpha 90.00
_cell_angle_beta 90.00
_cell_angle_gamma 90.00
_space_group_name_H-M_alt 'I m m m'
_space_group_IT_number 71
_space_group_name_Hall '-I 2 2'
loop_
_atom_site_label
_atom_site_fract_x
_atom_site_fract_y
_atom_site_fract_z
_atom_site_occupancy
Pm1 0.0000 0.0000 0.0000 1
Pm2 0.0000 0.0000 0.3497 1
Ga1 0.0000 0.5000 0.0000 1
Br1 0.0000 0.5000 0.3315 1
# Calculated total energy ... -4.430 eV per atom